Density functional theory data (GGA-PBEsol) for a geometry-optimized CaP structure.

Results
Symmetry: No. 189
Crystal system: hexagonal
Total energy in eV per cell: -60.8
M_tot in μB/f.u.: 0.00

```
CaP
1.0
-2.997 -4.770 0.296
2.645 -1.229 6.989
-6.385 3.950 -0.992
P Ca
6 6
Cartesian
-2.752 -3.302 4.564 P
-5.762 -1.575 1.904 P
-3.985 1.253 1.729 P
-2.092 -3.330 0.206 P
-0.905 -1.440 0.089 P
-0.975 -0.474 4.389 P
-3.776 -0.976 -0.206 Ca
1.827 -0.849 4.828 Ca
-4.411 2.729 -0.685 Ca
-3.904 -0.634 4.006 Ca
-1.156 0.841 1.854 Ca
-0.555 -2.823 2.640 Ca
```


Density functional theory data (GGA-PBEsol) for a geometry-optimized TlFeAsSe2 structure.

Results
DOS at the Fermi energy in states/eV per atom: 1.033
Symmetry: No. 123
Crystal system: tetragonal
Total energy in eV per cell: -23.6
Raw formation energy in eV per atom: 0.16
M_tot in μB/f.u.: 2.39

```
TlFeAsSe2
1.0
4.462 0.000 0.000
0.000 4.930 0.000
0.000 0.000 4.930
Se As Tl Fe
2 1 1 1
Cartesian
0.000 0.000 2.465 Se
0.000 2.465 0.000 Se
2.231 0.000 0.000 As
2.231 2.465 2.465 Tl
0.000 0.000 0.000 Fe
```


Density functional theory data (GGA-PBEsol) for a geometry-optimized RbBeBr2Cl structure.

Results
DOS at the Fermi energy in states/eV per atom: 0.000
Symmetry: No. 123
Crystal system: tetragonal
Total energy in eV per cell: -16.6
Raw formation energy in eV per atom: -1.17
M_tot in μB/f.u.: 0.00

```
RbBeBr2Cl
1.0
-4.327 -0.774 1.084
-0.197 -3.709 -3.434
1.475 -3.330 3.511
Br Cl Be Rb
2 1 1 1
Cartesian
-0.099 -1.855 -1.717 Br
0.738 -1.665 1.756 Br
-2.164 -0.387 0.542 Cl
0.000 0.000 0.000 Be
-1.524 -3.906 0.581 Rb
```


Density functional theory data (GGA-PBEsol) for a geometry-optimized CrTc3Ir structure.

Results
DOS at the Fermi energy in states/eV per atom: 1.061
Symmetry: No. 221
Crystal system: cubic
Total energy in eV per cell: -47.2
M_tot in μB/f.u.: 0.00

```
CrTc3Ir
1.0
-1.801 -2.330 -3.088
-3.046 -1.246 2.717
-2.385 3.351 -1.137
Tc Ir Cr
3 1 1
Cartesian
-0.901 -1.165 -1.544 Tc
-1.523 -0.623 1.358 Tc
-1.193 1.675 -0.568 Tc
-3.616 -0.113 -0.754 Ir
0.000 0.000 0.000 Cr
```


Density functional theory data (GGA-PBEsol) for a geometry-optimized Hf2Al3Ni structure.

Results
DOS at the Fermi energy in states/eV per atom: 0.855
Symmetry: No. 166
Crystal system: trigonal
Total energy in eV per cell: -42.7
M_tot in μB/f.u.: 0.00

```
Hf2Al3Ni
1.0
-4.642 1.492 1.324
-1.319 -0.381 4.863
-0.451 4.261 2.678
Al Hf Ni
3 2 1
Cartesian
-0.225 2.130 1.339 Al
-0.660 -0.190 2.431 Al
-2.321 0.746 0.662 Al
-4.018 3.366 5.554 Hf
-2.395 2.006 3.310 Hf
0.000 0.000 0.000 Ni
```


Density functional theory data (GGA-PBEsol) for a geometry-optimized MgPbBr2 structure.

Results
DOS at the Fermi energy in states/eV per atom: 0.469
Symmetry: No. 65
Crystal system: orthorhombic
Total energy in eV per cell: -11.0
Excess energy over the best structure of this formula in the dataset in meV/atom: 207
Raw formation energy in eV per atom: -0.39
M_tot in μB/f.u.: 0.00

```
MgPbBr2
1.0
-0.998 -1.111 -3.381
-2.127 -4.536 2.118
-4.229 3.418 0.125
Mg Br Pb
1 2 1
Cartesian
-0.499 -0.555 -1.691 Mg
-2.115 1.709 0.062 Br
-1.064 -2.268 1.059 Br
-3.677 -1.114 -0.569 Pb
```


Density functional theory data (GGA-PBEsol) for a geometry-optimized BaSr structure.

Results
DOS at the Fermi energy in states/eV per atom: 1.378
Symmetry: No. 187
Crystal system: hexagonal
Total energy in eV per cell: -4.0
Excess energy over the best structure of this formula in the dataset in meV/atom: 14
M_tot in μB/f.u.: 0.00

```
BaSr
1.0
4.241 0.000 0.000
-2.120 3.673 0.000
0.000 0.000 7.032
Sr Ba
1 1
Cartesian
0.000 2.448 3.516 Sr
0.000 0.000 0.000 Ba
```


Density functional theory data (GGA-PBEsol) for a geometry-optimized CaSi structure.

Results
DOS at the Fermi energy in states/eV per atom: 0.396
Symmetry: No. 129
Crystal system: tetragonal
Total energy in eV per cell: -16.6
Raw formation energy in eV per atom: -0.21
M_tot in μB/f.u.: 0.00

```
CaSi
1.0
-1.604 2.825 1.082
-2.513 -1.926 1.303
4.025 -0.438 7.112
Si Ca
2 2
Cartesian
0.541 -1.159 3.829 Si
1.425 1.170 4.476 Si
1.977 -1.315 6.366 Ca
-0.011 1.326 1.938 Ca
```